Compound: Hf6InFe
Source: Alexandria
Functional: PBE
Structure: optimized geometry

```
data_Hf6InFe
_chemical_formula_sum 'Hf6 In1 Fe1'
_cell_length_a 6.0979
_cell_length_b 6.1342
_cell_length_c 6.7982
_cell_angle_alpha 63.61
_cell_angle_beta 63.70
_cell_angle_gamma 59.95
_symmetry_space_group_name_H-M 'P 1'
_symmetry_Int_Tables_number 1
loop_
_symmetry_equiv_pos_as_xyz
'x,y,z'
loop_
_atom_site_label
_atom_site_type_symbol
_atom_site_fract_x
_atom_site_fract_y
_atom_site_fract_z
Hf1 Hf 0.0079 0.4242 0.7626
Hf2 Hf 0.4248 0.8072 0.7608
Hf3 Hf 0.8053 0.0064 0.7613
Hf4 Hf 0.9921 0.5758 0.2374
Hf5 Hf 0.1947 0.9936 0.2387
Hf6 Hf 0.5752 0.1928 0.2392
In1 In 0.5000 0.5000 0.5000
Fe1 Fe 0.0000 0.0000 0.0000
```

Properties
Size of the total moment   0.00 μB per formula unit
Energy relative to the elements   0.38 eV/atom
Theoretical density   10.9 g cm⁻³
Calculated total energy   -0.6233 Ry per atom
Crystal system   triclinic